This record from Alexandria describes a geometry-optimized In2WC structure. The functional is GGA-PBE.

Lattice parameters (Å, degrees): 8.6914 8.6914 4.1594 90.00 90.00 90.00
Last column: nearest neighbours and their distance in Å.
Space group I-42d (No. 122)
Inequivalent atoms, fractional coordinates:
In: 0.1180 0.2500 0.1250 (multiplicity 8)  2 C 2.46
W: 0.0000 0.0000 0.5000 (multiplicity 4)  2 C 2.08
C: 0.0000 0.0000 0.0000 (multiplicity 4)  2 W 2.08

Computed properties:
Energy of formation from the pure elements: 4.386 eV per formula unit
Total energy: -93.07 eV/cell